The following is a PBE with a Hubbard U calculation of a relaxed GaFeI2O crystal, from Alexandria via LeMat-Bulk.

a b c (Å): 5.9098 5.9098 3.7341
angles (deg): 90.00 90.00 90.00
Fractional positions:
O1 0.0000 0.0000 0.5000
Fe1 0.0000 0.0000 0.0000
Ga1 0.5000 0.5000 0.5000
I1 0.5000 0.0000 0.0000
I2 0.0000 0.5000 0.0000

## Properties
calculated volume: 130.41 Å³ per cell
E above lowest polymorph: 0 meV per atom